# 1
A plane-wave DFT calculation with SCAN was carried out for Sr2AlCd at its PBEsol-relaxed geometry.

Lattice parameters (Å, degrees): 3.843 5.577 5.662 90.00 90.00 90.00
Fractional coordinates of all 4 atoms:
Cd 0.500 0.500 0.164
Sr 0.000 0.500 0.642
Sr 0.000 0.000 0.104
Al 0.500 0.000 0.589

Calculated values
E: -83.71 eV per formula unit
formation energy from the elements: -1.00 eV/f.u.

***

# 2
A plane-wave DFT calculation with SCAN was carried out for SrAl2Cd at its PBEsol-relaxed geometry.

Lattice parameters (Å, degrees): 3.522 3.521 7.483 90.00 90.00 90.00
Fractional coordinates of all 4 atoms:
Al 0.500 0.500 0.237
Al 0.000 0.000 0.058
Cd 0.000 0.000 0.448
Sr 0.500 0.500 0.757

Calculated values
E: -68.60 eV per formula unit
formation energy from the elements: -0.41 eV/f.u.

***

# 3
A plane-wave DFT calculation with SCAN was carried out for SrAl2Cd at its PBEsol-relaxed geometry.

Lattice parameters (Å, degrees): 4.601 4.496 4.496 89.98 90.00 90.00
Fractional coordinates of all 4 atoms:
Cd 0.500 0.000 0.000
Sr 0.500 0.500 0.500
Al 0.000 0.000 0.500
Al 0.000 0.500 0.000

Calculated values
E: -68.18 eV per formula unit
formation energy from the elements: 0.01 eV/f.u.

***

# 4
A plane-wave DFT calculation with SCAN was carried out for SrAl2Cd at its PBEsol-relaxed geometry.

Lattice parameters (Å, degrees): 4.986 4.986 9.956 104.50 104.50 90.00
Fractional coordinates of all 8 atoms:
Sr 0.500 0.500 0.000
Sr 0.750 0.250 0.500
Al 0.625 0.815 0.750
Al 0.065 0.375 0.250
Al 0.185 0.875 0.250
Al 0.125 0.935 0.750
Cd 0.250 0.750 0.500
Cd 0.000 0.000 0.000

Calculated values
E: -68.17 eV per formula unit
formation energy from the elements: 0.02 eV/f.u.

***

- The lowest formation energy from the elements belongs to which entry?
  Sr2AlCd

***

- E of number 3 (SrAl2Cd)?
  -68.18 eV per formula unit

***

- Number 3 is which compound?
  SrAl2Cd